Record 1
Computed, not measured: a relaxed Tl2CdCuCl6 crystal at the PBE-GGA level of DFT.

Calculated values
Its density of states at the Fermi level is 0.2 states/eV/cell.

```
data_Tl2CdCuCl6
_cell_length_a 6.9301
_cell_length_b 6.9336
_cell_length_c 7.4515
_cell_angle_alpha 62.34
_cell_angle_beta 62.41
_cell_angle_gamma 89.99
_space_group_name_H-M_alt 'P -1'
_space_group_IT_number 2
_space_group_name_Hall '-P 1'
loop_
_atom_site_label
_atom_site_fract_x
_atom_site_fract_y
_atom_site_fract_z
Tl1 0.2492 0.2495 0.0006
Cd1 0.0000 0.5000 0.5000
Cu1 0.5000 0.0000 0.5000
Cl1 0.2097 0.1607 0.5007
Cl2 0.2220 0.7220 0.0532
Cl3 0.3399 0.7115 0.4979
```

Record 2
Computed, not measured: a relaxed Tl2CdCu2Cl6 crystal at the PBE-GGA level of DFT.

```
data_Tl2CdCu2Cl6
_cell_length_a 12.9540
_cell_length_b 7.2461
_cell_length_c 7.5123
_cell_angle_alpha 90.00
_cell_angle_beta 122.17
_cell_angle_gamma 90.00
_space_group_name_H-M_alt 'C 1 2/m 1'
_space_group_IT_number 12
_space_group_name_Hall '-C 2y'
loop_
_atom_site_label
_atom_site_fract_x
_atom_site_fract_y
_atom_site_fract_z
Tl1 0.2338 0.0000 0.2088
Cd1 0.0000 0.0000 0.5000
Cu1 0.0569 0.5000 0.2223
Cl1 0.0504 0.2476 0.7959
Cl2 0.2441 0.0000 0.6540
```

Record 3
Computed, not measured: a relaxed TlCdCuCl4 crystal at the PBE-GGA level of DFT.

```
data_TlCdCuCl4
_cell_length_a 7.0333
_cell_length_b 7.8904
_cell_length_c 14.3689
_cell_angle_alpha 90.00
_cell_angle_beta 90.00
_cell_angle_gamma 90.00
_space_group_name_H-M_alt 'I m m a'
_space_group_IT_number 74
_space_group_name_Hall '-I 2b 2'
loop_
_atom_site_label
_atom_site_fract_x
_atom_site_fract_y
_atom_site_fract_z
Tl1 0.0000 0.2500 0.1671
Cd1 0.0000 0.0000 0.5000
Cu1 0.2500 0.2500 0.7500
Cl1 0.0000 0.0476 0.6994
Cl2 0.2459 0.2500 0.5033
```

Record 4
Computed, not measured: a relaxed Tl2CdCuCl5 crystal at the PBE-GGA level of DFT.

```
data_Tl2CdCuCl5
_cell_length_a 4.0112
_cell_length_b 19.0809
_cell_length_c 13.2335
_cell_angle_alpha 90.00
_cell_angle_beta 90.00
_cell_angle_gamma 90.00
_space_group_name_H-M_alt 'C m c 21'
_space_group_IT_number 36
_space_group_name_Hall 'C 2c -2'
loop_
_atom_site_label
_atom_site_fract_x
_atom_site_fract_y
_atom_site_fract_z
Tl1 0.0000 0.1169 0.0000
Tl2 0.0000 0.1250 0.6221
Cd1 0.0000 0.2108 0.3221
Cu1 0.0000 0.4451 0.7419
Cl1 0.0000 0.0688 0.3275
Cl2 0.0000 0.2888 0.9576
Cl3 0.0000 0.3022 0.6853
Cl4 0.0000 0.3474 0.3129
Cl5 0.0000 0.4982 0.5909
```

Record 5
Computed, not measured: a relaxed TlCd2CuCl6 crystal at the PBE-GGA level of DFT.

```
data_TlCd2CuCl6
_cell_length_a 13.7593
_cell_length_b 13.3454
_cell_length_c 7.7371
_cell_angle_alpha 90.00
_cell_angle_beta 111.98
_cell_angle_gamma 90.00
_space_group_name_H-M_alt 'C 1 2/c 1'
_space_group_IT_number 15
_space_group_name_Hall '-C 2yc'
loop_
_atom_site_label
_atom_site_fract_x
_atom_site_fract_y
_atom_site_fract_z
Tl1 0.0000 0.1155 0.2500
Cd1 0.1868 0.4227 0.1765
Cu1 0.0000 0.2232 0.7500
Cl1 0.1118 0.2567 0.0349
Cl2 0.1176 0.0825 0.6882
Cl3 0.1290 0.4321 0.4548
```

Record 6
Computed, not measured: a relaxed Tl3CdCu2Cl8 crystal at the PBE-GGA level of DFT.

Calculated values
Its density of states at the Fermi level is 12.9 states/eV/cell.

```
data_Tl3CdCu2Cl8
_cell_length_a 7.2313
_cell_length_b 7.2313
_cell_length_c 9.0138
_cell_angle_alpha 90.00
_cell_angle_beta 90.00
_cell_angle_gamma 120.00
_space_group_name_H-M_alt 'P -3 m 1'
_space_group_IT_number 164
_space_group_name_Hall '-P 3 2"'
loop_
_atom_site_label
_atom_site_fract_x
_atom_site_fract_y
_atom_site_fract_z
Tl1 0.0000 0.0000 0.0000
Tl2 0.3333 0.6667 0.6370
Cd1 0.0000 0.0000 0.5000
Cu1 0.3333 0.6667 0.2075
Cl1 0.1651 0.3302 0.3163
Cl2 0.3333 0.6667 0.9638
```

Record 7
Computed, not measured: a relaxed Tl3CdCu2Cl6 crystal at the PBE-GGA level of DFT.

Calculated values
Its density of states at the Fermi level is 3.1 states/eV/cell.

```
data_Tl3CdCu2Cl6
_cell_length_a 7.8682
_cell_length_b 7.8682
_cell_length_c 7.9281
_cell_angle_alpha 90.00
_cell_angle_beta 90.00
_cell_angle_gamma 120.00
_space_group_name_H-M_alt 'P -3 m 1'
_space_group_IT_number 164
_space_group_name_Hall '-P 3 2"'
loop_
_atom_site_label
_atom_site_fract_x
_atom_site_fract_y
_atom_site_fract_z
Tl1 0.0000 0.0000 0.0000
Tl2 0.3333 0.6667 0.6328
Cd1 0.0000 0.0000 0.5000
Cu1 0.3333 0.6667 0.2708
Cl1 0.1703 0.3406 0.2830
```

Record 8
Computed, not measured: a relaxed ZrCdCu2Cl crystal at the PBE-GGA level of DFT.

Calculated values
Its density of states at the Fermi level is 3.0 states/eV/cell.

```
data_ZrCdCu2Cl
_cell_length_a 4.8077
_cell_length_b 4.8077
_cell_length_c 5.1335
_cell_angle_alpha 90.00
_cell_angle_beta 90.00
_cell_angle_gamma 90.00
_space_group_name_H-M_alt 'P 4/m m m'
_space_group_IT_number 123
_space_group_name_Hall '-P 4 2'
loop_
_atom_site_label
_atom_site_fract_x
_atom_site_fract_y
_atom_site_fract_z
Zr1 0.0000 0.0000 0.0000
Cd1 0.5000 0.5000 0.5000
Cu1 0.0000 0.5000 0.5000
Cl1 0.5000 0.5000 0.0000
```

no.,density (Mg/m³),uncorrected formation energy (eV per atom)
1,4.90,-0.861
2,4.79,-0.803
3,4.35,-0.776
4,5.00,-0.912
5,3.56,-0.907
6,4.62,-0.806
7,4.16,-0.646
8,5.12,0.826